First-principles (GGA-PBEsol) data for BaCd2Os after structural relaxation, as listed in Alexandria.

Lattice parameters (Å, degrees): 4.7137 4.7137 6.2223 112.29 112.29 59.95
Atoms (fractional coordinates):
Ba 0.0000 0.0000 0.0000
Cd 0.5246 0.5246 0.5715
Cd 0.8053 0.8053 0.4137
Os 0.1877 0.1877 0.5606

Properties
- space group = Cm
- DFT formation energy (eV/atom) = 0.39
- electronic total energy (eV/atom) = -3.80